Entry from the Alexandria database: an optimized crystal structure of TaCd2Au (PBE-GGA).

a = 5.107 Å, b = 5.107 Å, c = 5.107 Å
α = 129.76°, β = 129.76°, γ = 73.79°
Fractional coordinates of all 4 atoms:
Ta 0.500 0.500 0.000
Au 0.750 0.250 0.500
Cd 0.250 0.750 0.500
Cd 0.000 0.000 0.000

Computed properties:
ΔH_f (0 K) = 1.31 eV per formula unit
uncorrected energy = -0.144 hartree per atom
total magnetization = 0.00 μB/f.u.
DOS(E_F) = 0.823 states/eV/atom
SG = No. 119